Record 1
First-principles (PBE) data for crystalline CdInAs2 at its relaxed geometry, as listed in Alexandria.

abc: 8.2622 7.9778 2.9198
angles: 90.00 104.37 90.00
Closest atoms and distances in Å follow each position.
Space group C2/m (No. 12)
Symmetry-distinct sites (fractional):
Cd 0.0000 0.0000 0.0000 [2 per cell]  4 As 2.87, 2 Cd 2.92
In 0.0000 0.5000 0.0000 [2 per cell]  4 As 2.87, 2 In 2.92
As 0.2500 0.2500 0.0000 [4 per cell]  2 Cd 2.87, 2 In 2.87, 2 As 2.92

## Properties
N(E_F)	2.18	states/eV per cell
DFT total energy	-3.1319	eV per atom
total magnetization	0.0	μB per cell
formation enthalpy at 0 K	0.106	eV per atom
calculated volume	23.30	Å³/atom

Record 2
First-principles (PBE) data for crystalline CaMg3Sb3 at its relaxed geometry, as listed in Alexandria.

abc: 8.2011 8.2011 21.9848
angles: 90.00 90.00 120.00
Closest atoms and distances in Å follow each position.
Space group R-3 (No. 148, hexagonal axes)
Symmetry-distinct sites (fractional):
Ca 0.0000 0.0000 0.1658 [6 per cell]  6 Sb 3.23
Mg 0.0027 0.6752 0.6194 [18 per cell]  4 Sb 2.86-2.95
Sb 0.0024 0.6633 0.4204 [18 per cell]  4 Mg 2.86-2.95

## Properties
N(E_F)	25.67	states/eV per cell
DFT total energy	-3.2318	eV per atom
total magnetization	0.0	μB per cell
calculated volume	30.49	Å³/atom
formation energy (no corrections)	-496	meV/atom

Question: Among the records above, which one has the lowest N(E_F)?
Answer: CdInAs2

Question: Among the records above, which one has the lowest calculated volume?
Answer: CdInAs2

Question: Which value of N(E_F) does entry 2 give?
Answer: 25.67 states/eV per cell